No. 1
Computed, not measured: K2BeHgAs after structural relaxation at the PBE level of DFT.

a b c (Å): 6.4138 6.4138 4.0479
angles (deg): 90.00 90.00 90.00
Sites, in units of the cell vectors:
Be1 0.0000 0.0000 0.0000
K1 0.5000 0.0000 0.0000
K2 0.0000 0.5000 0.0000
Hg1 0.5000 0.5000 0.5000
As1 0.0000 0.0000 0.5000

Values from the calculation:
- Density of states at the Fermi level: 2.44 states/eV per cell
- Calculated total energy: -2.27 eV per atom

=====

No. 2
Computed, not measured: MgVCu after structural relaxation at the PBE level of DFT.

a b c (Å): 7.5033 5.4755 4.3314
angles (deg): 90.00 90.00 90.00
Sites, in units of the cell vectors:
Cu1 0.8333 0.7500 0.5000
Cu2 0.1667 0.2500 0.5000
Cu3 0.3333 0.7500 0.0000
Cu4 0.6667 0.2500 0.0000
Mg1 0.0000 0.5000 0.0000
Mg2 0.0000 0.0000 0.0000
Mg3 0.5000 0.5000 0.5000
Mg4 0.5000 0.0000 0.5000
V1 0.8331 0.2500 0.5000
V2 0.1669 0.7500 0.5000
V3 0.6669 0.7500 0.0000
V4 0.3331 0.2500 0.0000

Values from the calculation:
- Density of states at the Fermi level: 7.96 states/eV per cell
- E above lowest polymorph: 0.60 eV/f.u.

=====

> Which of these has the lowest density of states at the Fermi level?

K2BeHgAs